Run one
# CsRu | Alexandria | GGA-PBE | optimized geometry
data_CsRu
_chemical_formula_sum 'Cs16 Ru16'
_symmetry_space_group_name_H-M 'F d d d'
_symmetry_Int_Tables_number 70
_cell_length_a 6.4738
_cell_length_b 10.2111
_cell_length_c 14.4442
_cell_angle_alpha 90.00
_cell_angle_beta 90.00
_cell_angle_gamma 90.00
loop_
_symmetry_equiv_pos_as_xyz
'x,y,z'
'-x,-y,-z'
'-x+1/4,-y+1/4,z'
'x+1/4,y+1/4,-z'
'x,-y+1/4,-z+1/4'
'-x,y+1/4,z+1/4'
'-x+1/4,y,-z+1/4'
'x+1/4,-y,z+1/4'
'x,y+1/2,z+1/2'
'-x,-y+1/2,-z+1/2'
'-x+1/4,-y+3/4,z+1/2'
'x+1/4,y+3/4,-z+1/2'
'x,-y+3/4,-z+3/4'
'-x,y+3/4,z+3/4'
'-x+1/4,y+1/2,-z+3/4'
'x+1/4,-y+1/2,z+3/4'
'x+1/2,y,z+1/2'
'-x+1/2,-y,-z+1/2'
'-x+3/4,-y+1/4,z+1/2'
'x+3/4,y+1/4,-z+1/2'
'x+1/2,-y+1/4,-z+3/4'
'-x+1/2,y+1/4,z+3/4'
'-x+3/4,y,-z+3/4'
'x+3/4,-y,z+3/4'
'x+1/2,y+1/2,z'
'-x+1/2,-y+1/2,-z'
'-x+3/4,-y+3/4,z'
'x+3/4,y+3/4,-z'
'x+1/2,-y+3/4,-z+1/4'
'-x+1/2,y+3/4,z+1/4'
'-x+3/4,y+1/2,-z+1/4'
'x+3/4,-y+1/2,z+1/4'
loop_
_atom_site_label
_atom_site_type_symbol
_atom_site_fract_x
_atom_site_fract_y
_atom_site_fract_z
_atom_site_occupancy
Cs1 Cs 0.1250 0.2914 0.1250 1
Ru1 Ru 0.1250 0.1250 0.5474 1
# DOS at the Fermi energy ... 41.790 states/eV/cell
# V ... 954.8 Å³/cell

***

Run two
# CsRu | Alexandria | GGA-PBE | optimized geometry
data_CsRu
_chemical_formula_sum 'Cs4 Ru4'
_symmetry_space_group_name_H-M 'C 1 m 1'
_symmetry_Int_Tables_number 8
_symmetry_space_group_name_Hall 'C -2y'
_cell_length_a 8.0345
_cell_length_b 10.7292
_cell_length_c 4.0276
_cell_angle_alpha 90.00
_cell_angle_beta 119.64
_cell_angle_gamma 90.00
loop_
_atom_site_label
_atom_site_type_symbol
_atom_site_fract_x
_atom_site_fract_y
_atom_site_fract_z
_atom_site_occupancy
Cs1 Cs 0.0000 0.1904 0.0000 1
Ru1 Ru 0.0023 0.5000 0.5098 1
Ru2 Ru 0.1616 0.5000 0.1669 1
# DOS at the Fermi energy ... 10.647 states/eV/cell
# V ... 301.8 Å³/cell

***

The structure with the least stability is run one.

***

Run one
# CsRu | Alexandria | GGA-PBE | optimized geometry
data_CsRu
_chemical_formula_sum 'Cs2 Ru2'
_symmetry_space_group_name_H-M 'P 1'
_symmetry_Int_Tables_number 1
_symmetry_space_group_name_Hall 'P 1'
_cell_length_a 4.0805
_cell_length_b 4.0807
_cell_length_c 10.9254
_cell_angle_alpha 88.04
_cell_angle_beta 88.18
_cell_angle_gamma 60.00
loop_
_atom_site_label
_atom_site_type_symbol
_atom_site_fract_x
_atom_site_fract_y
_atom_site_fract_z
_atom_site_occupancy
Cs1 Cs 0.0000 0.0000 0.0000 1
Cs2 Cs 0.3621 0.3699 0.4649 1
Ru1 Ru 0.3460 0.3489 0.7642 1
Ru2 Ru 0.6816 0.6850 0.7221 1
# DOS at the Fermi energy ... 3.849 states/eV/cell
# V ... 157.4 Å³/cell

***

Run two
# CsRu | Alexandria | GGA-PBE | optimized geometry
data_CsRu
_chemical_formula_sum 'Cs6 Ru6'
_symmetry_space_group_name_H-M 'P 63/m m c'
_symmetry_Int_Tables_number 194
_symmetry_space_group_name_Hall '-P 6c 2c'
_cell_length_a 8.6230
_cell_length_b 8.6230
_cell_length_c 5.8033
_cell_angle_alpha 90.00
_cell_angle_beta 90.00
_cell_angle_gamma 120.00
loop_
_atom_site_label
_atom_site_type_symbol
_atom_site_fract_x
_atom_site_fract_y
_atom_site_fract_z
_atom_site_occupancy
Cs1 Cs 0.1698 0.3396 0.2500 1
Ru1 Ru 0.1446 0.5723 0.7500 1
# DOS at the Fermi energy ... 13.423 states/eV/cell
# V ... 373.7 Å³/cell

***

The structure with the least stability is run two.

***

Run one
# CsRu | Alexandria | GGA-PBE | optimized geometry
data_CsRu
_chemical_formula_sum 'Cs6 Ru6'
_symmetry_space_group_name_H-M 'P m -3 n'
_symmetry_Int_Tables_number 223
_symmetry_space_group_name_Hall '-P 4n 2 3'
_cell_length_a 7.9256
_cell_length_b 7.9256
_cell_length_c 7.9256
_cell_angle_alpha 90.00
_cell_angle_beta 90.00
_cell_angle_gamma 90.00
loop_
_atom_site_label
_atom_site_type_symbol
_atom_site_fract_x
_atom_site_fract_y
_atom_site_fract_z
_atom_site_occupancy
Cs1 Cs 0.0000 0.2500 0.5000 1
Ru1 Ru 0.0000 0.5000 0.2500 1
# DOS at the Fermi energy ... 24.839 states/eV/cell
# V ... 497.9 Å³/cell

***

Run two
# CsRu | Alexandria | GGA-PBE | optimized geometry
data_CsRu
_chemical_formula_sum 'Cs8 Ru8'
_symmetry_space_group_name_H-M 'I 4/m m m'
_symmetry_Int_Tables_number 139
_symmetry_space_group_name_Hall '-I 4 2'
_cell_length_a 13.5120
_cell_length_b 13.5120
_cell_length_c 4.4143
_cell_angle_alpha 90.00
_cell_angle_beta 90.00
_cell_angle_gamma 90.00
loop_
_atom_site_label
_atom_site_type_symbol
_atom_site_fract_x
_atom_site_fract_y
_atom_site_fract_z
_atom_site_occupancy
Cs1 Cs 0.0000 0.2426 0.0000 1
Ru1 Ru 0.2361 0.2361 0.5000 1
# DOS at the Fermi energy ... 26.135 states/eV/cell
# V ... 805.9 Å³/cell

***

The structure with the least stability is run one.